Record 1
A plane-wave DFT calculation with PBE-GGA was carried out for crystalline Cr2FeCuH at its relaxed geometry.

Unit cell a=3.6011 b=3.6011 c=3.7471 alpha=90.00 beta=90.00 gamma=90.00
Last column: nearest neighbours and their distance in Å.
Space group P4/mmm (No. 123)
Asymmetric unit:
Cr  0.0000  0.5000  0.0000 x2  2 H 1.80
Fe  0.0000  0.0000  0.5000 x1  2 H 1.87
Cu  0.5000  0.5000  0.5000 x1  4 Fe 2.55, 8 Cr 2.60
H  0.0000  0.0000  0.0000 x1  4 Cr 1.80, 2 Fe 1.87

Mass density   7.67 Mg/m³
Volume   49 Å³ per cell
Calculated total energy   -6.836 eV/atom
DOS(E_F)   5.315 states/eV/f.u.

Record 2
A plane-wave DFT calculation with PBE-GGA was carried out for crystalline Bi6PdAu at its relaxed geometry.

Unit cell a=7.1289 b=7.1289 c=15.7465 alpha=90.00 beta=90.00 gamma=120.00
Last column: nearest neighbours and their distance in Å.
Space group R-3 (No. 148, hexagonal axes)
Asymmetric unit:
Bi  0.0094  0.7184  0.2480 x18  1 Pd 2.82, 1 Au 2.93
Pd  0.0000  0.0000  0.5000 x3  6 Bi 2.82
Au  0.0000  0.0000  0.0000 x3  6 Bi 2.93

Mass density   11.19 Mg/m³
Volume   693 Å³ per cell
Calculated total energy   -4.028 eV/atom
DOS(E_F)   4.606 states/eV/f.u.
Energy of formation from the pure elements   -45 kJ/mol of formula units

Record 3
A plane-wave DFT calculation with PBE-GGA was carried out for crystalline KTaSe2O at its relaxed geometry.

Unit cell a=5.2274 b=5.2274 c=3.9448 alpha=90.00 beta=90.00 gamma=90.00
Last column: nearest neighbours and their distance in Å.
Space group P4/mmm (No. 123)
Asymmetric unit:
K  0.0000  0.0000  0.0000 x1  8 Se 3.27
Ta  0.5000  0.5000  0.5000 x1  2 O 1.97
Se  0.0000  0.5000  0.5000 x2  2 Ta 2.61
O  0.5000  0.5000  0.0000 x1  2 Ta 1.97

Energy relative to the elements, uncorrected   -1.38 eV/atom
Excess energy over the best structure of this formula in the dataset   0.000 eV per atom
Mass density   6.07 Mg/m³
Volume   108 Å³ per cell
Calculated total energy   -6.355 eV/atom
DOS(E_F)   0.950 states/eV/f.u.

Record 4
A plane-wave DFT calculation with PBE-GGA was carried out for crystalline K2H2Se2O at its relaxed geometry.

Unit cell a=4.4328 b=7.6608 c=8.8794 alpha=90.00 beta=90.00 gamma=90.00
Last column: nearest neighbours and their distance in Å.
Space group Immm (No. 71)
Asymmetric unit:
K  0.0000  0.0000  0.2487 x4  2 O 3.13, 4 H 3.28, 6 Se 3.37-3.43
H  0.0000  0.3727  0.5000 x4  1 O 0.98
Se  0.0000  0.3420  0.0000 x4  1 Se 2.42
O  0.0000  0.5000  0.5000 x2  2 H 0.98

Mass density   2.80 Mg/m³
Volume   302 Å³ per cell
Calculated total energy   -3.794 eV/atom